Entry 1:
The following is a PBE calculation of Sm3Al3Ge after structural relaxation, from Alexandria.

- calculated density (kg/m3) = 5783
- electronic total energy (eV/f.u.) = -33.70
- crystal system = orthorhombic
- energy of formation from the pure elements (eV/atom) = -0.528
- DOS at the Fermi energy (states/eV per cell) = 5.87

Lattice parameters (Å, degrees): 9.933 9.933 9.933 155.33 154.86 35.52
Fractional positions:
Sm  0.000  0.000  0.000
Sm  0.182  0.682  0.500
Sm  0.371  0.371  0.000
Al  0.542  0.542  0.000
Al  0.750  0.250  0.500
Al  0.825  0.825  0.000
Ge  0.619  0.119  0.500



Entry 2:
The following is a PBE calculation of Sm2AlS after structural relaxation, from Alexandria.

- calculated density (kg/m3) = 5838
- uncorrected formation energy (meV/atom) = -1114
- electronic total energy (eV/f.u.) = -21.76
- crystal system = trigonal
- energy above the lowest structure with this stoichiometry (kJ/mol of formula units) = 36.4
- DOS at the Fermi energy (states/eV per cell) = 2.38

Lattice parameters (Å, degrees): 7.962 7.962 7.962 28.61 28.61 28.61
Fractional positions:
Sm  0.241  0.241  0.241
Sm  0.759  0.759  0.759
Al  0.000  0.000  0.000
S  0.500  0.500  0.500



Entry 3:
The following is a PBE calculation of Ho4NiSn after structural relaxation, from Alexandria.

- calculated density (kg/m3) = 8009
- electronic total energy (eV/f.u.) = -29.68
- crystal system = monoclinic
- energy of formation from the pure elements (eV/atom) = -0.264
- DOS at the Fermi energy (states/eV per cell) = 9.88

Lattice parameters (Å, degrees): 7.244 7.067 6.795 90.00 93.75 90.00
Fractional positions:
Ho  0.141  0.169  0.184
Ho  0.141  0.331  0.684
Ho  0.313  0.643  0.111
Ho  0.313  0.857  0.611
Ho  0.687  0.143  0.389
Ho  0.687  0.357  0.889
Ho  0.859  0.669  0.316
Ho  0.859  0.831  0.816
Ni  0.000  0.000  0.500
Ni  0.000  0.500  0.000
Sn  0.500  0.000  0.000
Sn  0.500  0.500  0.500



Entry 4:
The following is a PBE calculation of CdIr2SeO after structural relaxation, from Alexandria.

- calculated density (kg/m3) = 10171
- uncorrected formation energy (meV/atom) = 577
- electronic total energy (eV/f.u.) = -24.19
- crystal system = tetragonal
- DOS at the Fermi energy (states/eV per cell) = 7.73

Lattice parameters (Å, degrees): 3.918 3.918 6.292 90.00 90.00 90.00
Fractional positions:
Cd  0.000  0.000  0.000
Ir  0.000  0.500  0.500
Ir  0.500  0.000  0.500
Se  0.500  0.500  0.000
O  0.500  0.500  0.500